VASP calculation (PBE with a Hubbard U) on a geometry-optimized MgTiCoO4 structure.

Summary:
Total energy   -7.291 eV per atom

```
MgTiCoO4
1.0
6.0156 0.0000 0.0000
-3.0078 5.2479 -0.3088
0.0000 -3.1074 5.1102
Mg Ti Co O
2 2 2 8
Direct
0.8853 0.7706 0.1353
0.1147 0.2294 0.8647
0.5000 0.5000 0.5000
0.0000 0.5000 0.5000
0.5000 0.0000 0.5000
0.5000 0.0000 0.0000
0.7525 0.5049 0.7258
0.2860 0.0469 0.2734
0.7608 0.0469 0.2734
0.7525 0.5049 0.2792
0.2475 0.4951 0.7208
0.7140 0.9531 0.7266
0.2392 0.9531 0.7266
0.2475 0.4951 0.2742
```